(1)
Below is a relaxed CrTc2Hg crystal, with properties calculated at the PBE level.

Cell and atoms, written as CIF:
```
data_CrTc2Hg
_chemical_formula_sum 'Cr1 Tc2 Hg1'
_space_group_name_H-M_alt 'P 4/m m m'
_space_group_IT_number 123
_space_group_name_Hall '-P 4 2'
_cell_length_a 3.907
_cell_length_b 3.907
_cell_length_c 4.045
_cell_angle_alpha 90.00
_cell_angle_beta 90.00
_cell_angle_gamma 90.00
loop_
_atom_site_label
_atom_site_fract_x
_atom_site_fract_y
_atom_site_fract_z
Cr1 0.000 0.000 0.000
Tc1 0.000 0.500 0.500
Hg1 0.500 0.500 0.000
```

Summary:
E_form: 2.2 eV per formula unit
density of states at the Fermi level: 5.8 states/eV/f.u.
crystal system: tetragonal
E: -28.49 eV/f.u.
volume: 15.44 A^3/atom
magnetization: 1.18 μB per cell

=====

(2)
Below is a relaxed CrTc2Hg crystal, with properties calculated at the PBE level.

Cell and atoms, written as CIF:
```
data_CrTc2Hg
_chemical_formula_sum 'Cr3 Tc6 Hg3'
_space_group_name_H-M_alt 'R -3 m'
_space_group_IT_number 166
_space_group_name_Hall '-R 3 2"'
_cell_length_a 2.8030
_cell_length_b 2.8030
_cell_length_c 27.3126
_cell_angle_alpha 90.00
_cell_angle_beta 90.00
_cell_angle_gamma 120.00
loop_
_atom_site_label
_atom_site_fract_x
_atom_site_fract_y
_atom_site_fract_z
Cr1 0.0000 0.0000 0.0000
Tc1 0.0000 0.0000 0.2604
Hg1 0.0000 0.0000 0.5000
```

Summary:
E_form: 1.6 eV per formula unit
density of states at the Fermi level: 4.9 states/eV/f.u.
crystal system: trigonal
E: -29.05 eV/f.u.
volume: 15.49 A^3/atom
magnetization: 0.00 μB per cell

=====

(3)
Below is a relaxed Cr2TcHg crystal, with properties calculated at the PBE level.

Cell and atoms, written as CIF:
```
data_Cr2TcHg
_chemical_formula_sum 'Cr2 Tc1 Hg1'
_space_group_name_H-M_alt 'P 4/m m m'
_space_group_IT_number 123
_space_group_name_Hall '-P 4 2'
_cell_length_a 3.023
_cell_length_b 3.023
_cell_length_c 6.759
_cell_angle_alpha 90.00
_cell_angle_beta 90.00
_cell_angle_gamma 90.00
loop_
_atom_site_label
_atom_site_fract_x
_atom_site_fract_y
_atom_site_fract_z
Cr1 0.000 0.000 0.211
Tc1 0.500 0.500 0.000
Hg1 0.500 0.500 0.500
```

Summary:
E_form: 1.5 eV per formula unit
density of states at the Fermi level: 3.5 states/eV/f.u.
crystal system: tetragonal
E: -28.41 eV/f.u.
volume: 15.45 A^3/atom
magnetization: 3.55 μB per cell

=====

(4)
Below is a relaxed Cr3TcHg crystal, with properties calculated at the PBE level.

Cell and atoms, written as CIF:
```
data_Cr3TcHg
_chemical_formula_sum 'Cr3 Tc1 Hg1'
_space_group_name_H-M_alt 'P m -3 m'
_space_group_IT_number 221
_space_group_name_Hall '-P 4 2 3'
_cell_length_a 4.991
_cell_length_b 4.991
_cell_length_c 4.991
_cell_angle_alpha 90.00
_cell_angle_beta 90.00
_cell_angle_gamma 90.00
loop_
_atom_site_label
_atom_site_fract_x
_atom_site_fract_y
_atom_site_fract_z
Cr1 0.000 0.000 0.500
Tc1 0.500 0.500 0.500
Hg1 0.000 0.000 0.000
```

Summary:
E_form: 10.2 eV per formula unit
density of states at the Fermi level: 6.2 states/eV/f.u.
crystal system: cubic
E: -29.37 eV/f.u.
volume: 24.86 A^3/atom
magnetization: 8.97 μB per cell
excess energy over the best structure of this formula in the dataset: 0.8248 eV per atom

=====

(5)
Below is a relaxed CrTc2Hg crystal, with properties calculated at the PBE level.

Cell and atoms, written as CIF:
```
data_CrTc2Hg
_chemical_formula_sum 'Cr4 Tc8 Hg4'
_space_group_name_H-M_alt 'F -4 3 m'
_space_group_IT_number 216
_space_group_name_Hall 'F -4 2 3'
_cell_length_a 6.339
_cell_length_b 6.339
_cell_length_c 6.339
_cell_angle_alpha 90.00
_cell_angle_beta 90.00
_cell_angle_gamma 90.00
loop_
_atom_site_label
_atom_site_fract_x
_atom_site_fract_y
_atom_site_fract_z
Cr1 0.000 0.000 0.000
Tc1 0.000 0.000 0.500
Tc2 0.250 0.250 0.750
Hg1 0.250 0.250 0.250
```

Summary:
E_form: 2.4 eV per formula unit
density of states at the Fermi level: 4.1 states/eV/f.u.
crystal system: cubic
E: -28.25 eV/f.u.
volume: 15.92 A^3/atom
magnetization: 10.30 μB per cell

=====

(6)
Below is a relaxed Cr3TcHg crystal, with properties calculated at the PBE level.

Cell and atoms, written as CIF:
```
data_Cr3TcHg
_chemical_formula_sum 'Cr3 Tc1 Hg1'
_space_group_name_H-M_alt 'P m -3 m'
_space_group_IT_number 221
_space_group_name_Hall '-P 4 2 3'
_cell_length_a 4.675
_cell_length_b 4.675
_cell_length_c 4.675
_cell_angle_alpha 90.00
_cell_angle_beta 90.00
_cell_angle_gamma 90.00
loop_
_atom_site_label
_atom_site_fract_x
_atom_site_fract_y
_atom_site_fract_z
Cr1 0.000 0.000 0.500
Tc1 0.000 0.000 0.000
Hg1 0.500 0.500 0.500
```

Summary:
E_form: 6.0 eV per formula unit
density of states at the Fermi level: 4.7 states/eV/f.u.
crystal system: cubic
E: -33.49 eV/f.u.
volume: 20.43 A^3/atom
magnetization: 8.66 μB per cell
excess energy over the best structure of this formula in the dataset: 0.0000 eV per atom

=====

(7)
Below is a relaxed CrTc2Hg crystal, with properties calculated at the PBE level.

Cell and atoms, written as CIF:
```
data_CrTc2Hg
_chemical_formula_sum 'Cr2 Tc4 Hg2'
_space_group_name_H-M_alt 'C m m m'
_space_group_IT_number 65
_space_group_name_Hall '-C 2 2'
_cell_length_a 5.472
_cell_length_b 7.880
_cell_length_c 2.884
_cell_angle_alpha 90.00
_cell_angle_beta 90.00
_cell_angle_gamma 90.00
loop_
_atom_site_label
_atom_site_fract_x
_atom_site_fract_y
_atom_site_fract_z
Cr1 0.000 0.000 0.000
Tc1 0.250 0.250 0.500
Hg1 0.000 0.500 0.000
```

Summary:
E_form: 2.5 eV per formula unit
density of states at the Fermi level: 5.0 states/eV/f.u.
crystal system: orthorhombic
E: -28.18 eV/f.u.
volume: 15.54 A^3/atom
magnetization: 2.22 μB per cell

=====

(8)
Below is a relaxed CrTc2Hg crystal, with properties calculated at the PBE level.

Cell and atoms, written as CIF:
```
data_CrTc2Hg
_chemical_formula_sum 'Cr2 Tc4 Hg2'
_space_group_name_H-M_alt 'I m m 2'
_space_group_IT_number 44
_cell_length_a 3.113
_cell_length_b 4.534
_cell_length_c 8.874
_cell_angle_alpha 90.00
_cell_angle_beta 90.00
_cell_angle_gamma 90.00
loop_
_space_group_symop_operation_xyz
'x,y,z'
'-x,-y,z'
'-x,y,z'
'x,-y,z'
'x+1/2,y+1/2,z+1/2'
'-x+1/2,-y+1/2,z+1/2'
'-x+1/2,y+1/2,z+1/2'
'x+1/2,-y+1/2,z+1/2'
loop_
_atom_site_label
_atom_site_fract_x
_atom_site_fract_y
_atom_site_fract_z
Cr1 0.000 0.000 0.000
Tc1 0.000 0.000 0.541
Tc2 0.000 0.500 0.281
Hg1 0.000 0.500 0.763
```

Summary:
E_form: 2.2 eV per formula unit
density of states at the Fermi level: 3.9 states/eV/f.u.
crystal system: orthorhombic
E: -28.48 eV/f.u.
volume: 15.66 A^3/atom
magnetization: 3.00 μB per cell

=====

(9)
Below is a relaxed CrTcHg4 crystal, with properties calculated at the PBE level.

Cell and atoms, written as CIF:
```
data_CrTcHg4
_chemical_formula_sum 'Cr4 Tc4 Hg16'
_space_group_name_H-M_alt 'F -4 3 m'
_space_group_IT_number 216
_space_group_name_Hall 'F -4 2 3'
_cell_length_a 8.000
_cell_length_b 8.000
_cell_length_c 8.000
_cell_angle_alpha 90.00
_cell_angle_beta 90.00
_cell_angle_gamma 90.00
loop_
_atom_site_label
_atom_site_fract_x
_atom_site_fract_y
_atom_site_fract_z
Cr1 0.000 0.000 0.000
Tc1 0.250 0.250 0.250
Hg1 0.125 0.125 0.625
```

Summary:
E_form: 5.2 eV per formula unit
density of states at the Fermi level: 5.9 states/eV/f.u.
crystal system: cubic
E: -15.99 eV/f.u.
volume: 21.33 A^3/atom
magnetization: 5.00 μB per cell

=====

(10)
Below is a relaxed Cr4TcHg crystal, with properties calculated at the PBE level.

Cell and atoms, written as CIF:
```
data_Cr4TcHg
_chemical_formula_sum 'Cr16 Tc4 Hg4'
_space_group_name_H-M_alt 'F -4 3 m'
_space_group_IT_number 216
_space_group_name_Hall 'F -4 2 3'
_cell_length_a 6.853
_cell_length_b 6.853
_cell_length_c 6.853
_cell_angle_alpha 90.00
_cell_angle_beta 90.00
_cell_angle_gamma 90.00
loop_
_atom_site_label
_atom_site_fract_x
_atom_site_fract_y
_atom_site_fract_z
Cr1 0.124 0.124 0.376
Tc1 0.000 0.000 0.000
Hg1 0.250 0.250 0.750
```

Summary:
E_form: 1.7 eV per formula unit
density of states at the Fermi level: 5.9 states/eV/f.u.
crystal system: cubic
E: -47.42 eV/f.u.
volume: 13.41 A^3/atom
magnetization: 0.00 μB per cell

=====

(11)
Below is a relaxed Cr2TcHg crystal, with properties calculated at the PBE level.

Cell and atoms, written as CIF:
```
data_Cr2TcHg
_chemical_formula_sum 'Cr4 Tc2 Hg2'
_space_group_name_H-M_alt 'C m m m'
_space_group_IT_number 65
_space_group_name_Hall '-C 2 2'
_cell_length_a 3.095
_cell_length_b 4.449
_cell_length_c 8.710
_cell_angle_alpha 90.00
_cell_angle_beta 90.00
_cell_angle_gamma 90.00
loop_
_atom_site_label
_atom_site_fract_x
_atom_site_fract_y
_atom_site_fract_z
Cr1 0.000 0.000 0.223
Tc1 0.000 0.500 0.000
Hg1 0.000 0.500 0.500
```

Summary:
E_form: 2.1 eV per formula unit
density of states at the Fermi level: 4.4 states/eV/f.u.
crystal system: orthorhombic
E: -27.80 eV/f.u.
volume: 14.99 A^3/atom
magnetization: 0.01 μB per cell

=====

(12)
Below is a relaxed CrTc2Hg crystal, with properties calculated at the PBE level.

Cell and atoms, written as CIF:
```
data_CrTc2Hg
_chemical_formula_sum 'Cr1 Tc2 Hg1'
_space_group_name_H-M_alt 'P 1 2/m 1'
_space_group_IT_number 10
_cell_length_a 2.861
_cell_length_b 3.737
_cell_length_c 5.844
_cell_angle_alpha 90.00
_cell_angle_beta 90.11
_cell_angle_gamma 90.00
loop_
_space_group_symop_operation_xyz
'x,y,z'
'-x,-y,-z'
'-x,y,-z'
'x,-y,z'
loop_
_atom_site_label
_atom_site_fract_x
_atom_site_fract_y
_atom_site_fract_z
Cr1 0.000 0.000 0.000
Tc1 0.497 0.500 0.201
Hg1 0.000 0.000 0.500
```

Summary:
E_form: 1.6 eV per formula unit
density of states at the Fermi level: 3.3 states/eV/f.u.
crystal system: monoclinic
E: -29.05 eV/f.u.
volume: 15.62 A^3/atom
magnetization: 0.00 μB per cell

=====

> Look up the density of states at the Fermi level of the eighth one.

3.9 states/eV/f.u.

=====

Copy entry 7 word for word.
Below is a relaxed CrTc2Hg crystal, with properties calculated at the PBE level.

Cell and atoms, written as CIF:
```
data_CrTc2Hg
_chemical_formula_sum 'Cr2 Tc4 Hg2'
_space_group_name_H-M_alt 'C m m m'
_space_group_IT_number 65
_space_group_name_Hall '-C 2 2'
_cell_length_a 5.472
_cell_length_b 7.880
_cell_length_c 2.884
_cell_angle_alpha 90.00
_cell_angle_beta 90.00
_cell_angle_gamma 90.00
loop_
_atom_site_label
_atom_site_fract_x
_atom_site_fract_y
_atom_site_fract_z
Cr1 0.000 0.000 0.000
Tc1 0.250 0.250 0.500
Hg1 0.000 0.500 0.000
```

Summary:
E_form: 2.5 eV per formula unit
density of states at the Fermi level: 5.0 states/eV/f.u.
crystal system: orthorhombic
E: -28.18 eV/f.u.
volume: 15.54 A^3/atom
magnetization: 2.22 μB per cell

=====

> What is the formula in the eighth record?

CrTc2Hg